Record 1
CaCd2As2: optimized geometry, GGA-PBE.

- Total DFT energy (no corrections): -28.496 eV per cell
- Total moment: 0.000 Bohr magnetons per cell
- Energy relative to the elements: -21.6 kJ per mole of atoms
- ΔE to the lowest computed polymorph: 374 meV/atom
- Space-group type: P4/mbm
- Calculated volume: 23.38 Å³ per atom

Unit cell a=8.0659 b=8.0659 c=3.5937 alpha=90.00 beta=90.00 gamma=90.00
Closest atoms and distances in Å follow each position.
Fractional coordinates of all 10 atoms:
Ca  0.0000  0.0000  0.0000  4 Cd 3.21, 8 As 3.44
Ca  0.5000  0.5000  0.0000  4 Cd 3.21, 8 As 3.44
Cd  0.1213  0.3787  0.0000  1 Cd 2.77, 2 As 2.82
Cd  0.3787  0.8787  0.0000  1 Cd 2.77, 2 As 2.82
Cd  0.6213  0.1213  0.0000  1 Cd 2.77, 2 As 2.82
Cd  0.8787  0.6213  0.0000  1 Cd 2.77, 2 As 2.82
As  0.1885  0.6885  0.5000  6 Cd 2.82-3.13
As  0.3115  0.1885  0.5000  6 Cd 2.82-3.13
As  0.6885  0.8115  0.5000  6 Cd 2.82-3.13
As  0.8115  0.3115  0.5000  6 Cd 2.82-3.13

Record 2
Ca2CdAs: optimized geometry, GGA-PBE.

- Total DFT energy (no corrections): -36.885 eV per cell
- Total moment: 0.000 Bohr magnetons per cell
- Energy relative to the elements: -65.8 kJ per mole of atoms
- ΔE to the lowest computed polymorph: 60 meV/atom
- Space-group type: R-3m
- Calculated volume: 30.69 Å³ per atom

Unit cell a=4.4213 b=4.4213 c=21.7577 alpha=90.00 beta=90.00 gamma=120.00
Closest atoms and distances in Å follow each position.
Fractional coordinates of all 12 atoms:
Ca  0.0000  0.0000  0.2328  3 As 2.93
Ca  0.0000  0.0000  0.7672  3 As 2.93
Ca  0.3333  0.6667  0.4338  3 As 2.93
Ca  0.3333  0.6667  0.8995  3 As 2.93
Ca  0.6667  0.3333  0.1005  3 As 2.93
Ca  0.6667  0.3333  0.5662  3 As 2.93
Cd  0.0000  0.0000  0.0000  6 Ca 3.36
Cd  0.3333  0.6667  0.6667  6 Ca 3.36
Cd  0.6667  0.3333  0.3333  6 Ca 3.36
As  0.0000  0.0000  0.5000  6 Ca 2.93
As  0.3333  0.6667  0.1667  6 Ca 2.93
As  0.6667  0.3333  0.8333  6 Ca 2.93

Record 3
CaCd2As: optimized geometry, GGA-PBE.

- Total DFT energy (no corrections): -27.772 eV per cell
- Total moment: 0.000 Bohr magnetons per cell
- Energy relative to the elements: -18.7 kJ per mole of atoms
- Space-group type: R-3m
- Calculated volume: 27.11 Å³ per atom

Unit cell a=4.4599 b=4.4599 c=18.8869 alpha=90.00 beta=90.00 gamma=120.00
Closest atoms and distances in Å follow each position.
Fractional coordinates of all 12 atoms:
Ca  0.0000  0.0000  0.0000  6 Cd 3.22
Ca  0.3333  0.6667  0.6667  6 Cd 3.22
Ca  0.6667  0.3333  0.3333  6 Cd 3.22
Cd  0.0000  0.0000  0.2307  3 As 2.85
Cd  0.0000  0.0000  0.7693  3 As 2.85
Cd  0.3333  0.6667  0.4359  3 As 2.85
Cd  0.3333  0.6667  0.8974  3 As 2.85
Cd  0.6667  0.3333  0.1026  3 As 2.85
Cd  0.6667  0.3333  0.5641  3 As 2.85
As  0.0000  0.0000  0.5000  6 Cd 2.85
As  0.3333  0.6667  0.1667  6 Cd 2.85
As  0.6667  0.3333  0.8333  6 Cd 2.85

Record 4
Ca2Cd2As: optimized geometry, GGA-PBE.

- Total DFT energy (no corrections): -21.878 eV per cell
- Total moment: 0.000 Bohr magnetons per cell
- Energy relative to the elements: -8.8 kJ per mole of atoms
- ΔE to the lowest computed polymorph: 271 meV/atom
- Space-group type: I4/mmm
- Calculated volume: 30.37 Å³ per atom

Unit cell a=6.0883 b=6.0883 c=8.1927 alpha=90.00 beta=90.00 gamma=90.00
Closest atoms and distances in Å follow each position.
Fractional coordinates of all 10 atoms:
Ca  0.0000  0.5000  0.2500  4 Cd 3.13
Ca  0.0000  0.5000  0.7500  4 Cd 3.13
Ca  0.5000  0.0000  0.2500  4 Cd 3.13
Ca  0.5000  0.0000  0.7500  4 Cd 3.13
Cd  0.0000  0.0000  0.1631  1 Cd 2.67, 1 As 2.76
Cd  0.0000  0.0000  0.8369  1 Cd 2.67, 1 As 2.76
Cd  0.5000  0.5000  0.3369  1 Cd 2.67, 1 As 2.76
Cd  0.5000  0.5000  0.6631  1 Cd 2.67, 1 As 2.76
As  0.0000  0.0000  0.5000  2 Cd 2.76
As  0.5000  0.5000  0.0000  2 Cd 2.76

What did the fourth record say?
Ca2Cd2As: optimized geometry, GGA-PBE.

- Total DFT energy (no corrections): -21.878 eV per cell
- Total moment: 0.000 Bohr magnetons per cell
- Energy relative to the elements: -8.8 kJ per mole of atoms
- ΔE to the lowest computed polymorph: 271 meV/atom
- Space-group type: I4/mmm
- Calculated volume: 30.37 Å³ per atom

Unit cell a=6.0883 b=6.0883 c=8.1927 alpha=90.00 beta=90.00 gamma=90.00
Closest atoms and distances in Å follow each position.
Fractional coordinates of all 10 atoms:
Ca  0.0000  0.5000  0.2500  4 Cd 3.13
Ca  0.0000  0.5000  0.7500  4 Cd 3.13
Ca  0.5000  0.0000  0.2500  4 Cd 3.13
Ca  0.5000  0.0000  0.7500  4 Cd 3.13
Cd  0.0000  0.0000  0.1631  1 Cd 2.67, 1 As 2.76
Cd  0.0000  0.0000  0.8369  1 Cd 2.67, 1 As 2.76
Cd  0.5000  0.5000  0.3369  1 Cd 2.67, 1 As 2.76
Cd  0.5000  0.5000  0.6631  1 Cd 2.67, 1 As 2.76
As  0.0000  0.0000  0.5000  2 Cd 2.76
As  0.5000  0.5000  0.0000  2 Cd 2.76

Q: Which value of energy relative to the elements does entry 3 give?
A: -18.7 kJ per mole of atoms

Q: total DFT energy (no corrections) of number 4 (Ca2Cd2As)?
A: -21.878 eV per cell

Q: total moment of number 4 (Ca2Cd2As)?
A: 0.000 Bohr magnetons per cell